Cd2GeO4: optimized geometry, GGA-PBE.

Output
- spin magnetization (μB per cell) = 0.00
- raw total energy (eV/atom) = -5.115
- formation energy from raw total energies (eV/atom) = -1.36
- distance to the lowest polymorph of the same formula (meV per atom) = 14.7

Unit cell a=7.932 b=6.809 c=6.024 alpha=76.08 beta=56.43 gamma=47.49
Fractional coordinates of all 14 atoms:
Cd (0.062, 0.688, 0.062)
Cd (0.312, 0.938, 0.312)
Cd (0.688, 0.062, 0.688)
Cd (0.938, 0.312, 0.938)
Ge (0.375, 0.375, 0.375)
Ge (0.625, 0.625, 0.625)
O (0.179, 0.723, 0.346)
O (0.253, 0.346, 0.723)
O (0.277, 0.821, 0.747)
O (0.346, 0.253, 0.179)
O (0.654, 0.747, 0.821)
O (0.723, 0.179, 0.253)
O (0.747, 0.654, 0.277)
O (0.821, 0.277, 0.654)

=====

Mn2NiI6: optimized geometry, GGA-PBE.

Output
- spin magnetization (μB per cell) = 12.03
- raw total energy (eV/atom) = -4.017
- formation energy from raw total energies (eV/atom) = -0.30

Unit cell a=9.740 b=9.740 c=8.884 alpha=109.12 beta=109.12 gamma=24.22
Fractional coordinates of all 9 atoms:
Mn (0.166, 0.166, 0.333)
Mn (0.834, 0.834, 0.667)
Ni (0.500, 0.500, 0.000)
I (0.005, 0.005, 0.215)
I (0.328, 0.328, 0.431)
I (0.346, 0.346, 0.904)
I (0.654, 0.654, 0.096)
I (0.672, 0.672, 0.569)
I (0.995, 0.995, 0.785)